This record from Alexandria via LeMat-Bulk describes Hf9BMo4 after structural relaxation. The functional is PBEsol.

abc: 8.4145 8.4387 8.4387
angles: 120.00 90.00 90.00
With the nearest neighbours (Å) after each atom.
Sites, in units of the cell vectors:
Hf 0.0550 0.5924 0.7962  1 B 2.51
Hf 0.0550 0.2038 0.7962  1 B 2.51
Hf 0.2500 0.9202 0.4601  2 Mo 2.82, 1 B 3.02, 4 Hf 3.11
Hf 0.7500 0.4601 0.5399  2 Mo 2.82, 1 B 3.02, 4 Hf 3.11
Hf 0.7500 0.4601 0.9202  2 Mo 2.82, 1 B 3.02, 4 Hf 3.11
Hf 0.2500 0.5399 0.0798  2 Mo 2.82, 1 B 3.02, 4 Hf 3.11
Hf 0.2500 0.5399 0.4601  2 Mo 2.82, 1 B 3.02, 4 Hf 3.11
Hf 0.7500 0.0798 0.5399  2 Mo 2.82, 1 B 3.02, 4 Hf 3.11
Hf 0.0550 0.2038 0.4076  1 B 2.51
Hf 0.5550 0.7962 0.5924  1 B 2.51
Hf 0.9450 0.4076 0.2038  1 B 2.51
Hf 0.5550 0.7962 0.2038  1 B 2.51
Hf 0.5550 0.4076 0.2038  1 B 2.51
Hf 0.4450 0.2038 0.7962  1 B 2.51
Hf 0.4450 0.2038 0.4076  1 B 2.51
Hf 0.9450 0.7962 0.5924  1 B 2.51
Hf 0.9450 0.7962 0.2038  1 B 2.51
Hf 0.4450 0.5924 0.7962  1 B 2.51
B 0.7500 0.6667 0.3333  6 Hf 2.51
B 0.2500 0.3333 0.6667  6 Hf 2.51
Mo 0.0000 0.0000 0.0000  6 Mo 2.66
Mo 0.5000 0.0000 0.0000  6 Mo 2.66
Mo 0.7500 0.7779 0.8890  4 Mo 2.66-2.81, 4 Hf 2.82-2.90
Mo 0.2500 0.8890 0.1110  4 Mo 2.66-2.81, 4 Hf 2.82-2.90
Mo 0.2500 0.8890 0.7779  4 Mo 2.66-2.81, 4 Hf 2.82-2.90
Mo 0.7500 0.1110 0.2221  4 Mo 2.66-2.81, 4 Hf 2.82-2.90
Mo 0.7500 0.1110 0.8890  4 Mo 2.66-2.81, 4 Hf 2.82-2.90
Mo 0.2500 0.2221 0.1110  4 Mo 2.66-2.81, 4 Hf 2.82-2.90

SG = No. 194
D(E_F) = 20.382 states/eV per cell
E = -10.80 eV/atom

---

This record from Alexandria via LeMat-Bulk describes HfBSN2 after structural relaxation. The functional is PBEsol.

abc: 3.4730 3.4730 4.2125
angles: 90.00 90.00 90.00
With the nearest neighbours (Å) after each atom.
Sites, in units of the cell vectors:
S 0.0000 0.0000 0.5000  2 B 2.11
B 0.0000 0.0000 0.0000  4 N 1.74
Hf 0.5000 0.5000 0.5000  4 S 2.46, 8 N 2.73
N 0.0000 0.5000 0.0000  2 B 1.74
N 0.5000 0.0000 0.0000  2 B 1.74

SG = No. 123
D(E_F) = 1.446 states/eV per cell
Formation energy from raw total energies = 0.280 eV per atom

---

This record from Alexandria via LeMat-Bulk describes HfSn2BN after structural relaxation. The functional is PBEsol.

abc: 2.8086 5.5397 5.5397
angles: 90.00 90.00 90.00
With the nearest neighbours (Å) after each atom.
Sites, in units of the cell vectors:
B 0.5000 0.0000 0.0000  2 N 1.40
Hf 0.5000 0.5000 0.5000  2 Hf 2.81, 8 Sn 3.11
Sn 0.0000 0.0000 0.5000  2 N 2.77, 2 Sn 2.81
Sn 0.0000 0.5000 0.0000  2 N 2.77, 2 Sn 2.81
N 0.0000 0.0000 0.0000  2 B 1.40

SG = No. 123
D(E_F) = 2.999 states/eV per cell
Formation energy from raw total energies = 0.082 eV per atom

---

This record from Alexandria via LeMat-Bulk describes Na3HfB after structural relaxation. The functional is PBEsol.

abc: 4.9236 4.9236 4.9236
angles: 90.00 90.00 90.00
With the nearest neighbours (Å) after each atom.
Sites, in units of the cell vectors:
Na 0.0000 0.5000 0.0000  2 B 2.46
Na 0.0000 0.0000 0.5000  2 B 2.46
Na 0.5000 0.0000 0.0000  2 B 2.46
B 0.0000 0.0000 0.0000  6 Na 2.46
Hf 0.5000 0.5000 0.5000  12 Na 3.48

SG = No. 221
D(E_F) = 4.717 states/eV per cell
E = -2.84 eV/atom

---

This record from Alexandria via LeMat-Bulk describes NaHf3B after structural relaxation. The functional is PBEsol.

abc: 4.6422 4.6422 4.6422
angles: 90.00 90.00 90.00
With the nearest neighbours (Å) after each atom.
Sites, in units of the cell vectors:
Na 0.5000 0.5000 0.5000  12 Hf 3.28
B 0.0000 0.0000 0.0000  6 Hf 2.32
Hf 0.0000 0.5000 0.0000  2 B 2.32
Hf 0.0000 0.0000 0.5000  2 B 2.32
Hf 0.5000 0.0000 0.0000  2 B 2.32

SG = No. 221
D(E_F) = 8.655 states/eV per cell
E = -7.67 eV/atom

---

This record from Alexandria via LeMat-Bulk describes NaHfB2Os after structural relaxation. The functional is PBEsol.

abc: 4.0396 4.0396 4.5294
angles: 90.00 90.00 90.00
With the nearest neighbours (Å) after each atom.
Sites, in units of the cell vectors:
Hf 0.5000 0.5000 0.5000  4 Os 2.86, 8 B 3.03
B 0.0000 0.5000 0.0000  2 Na 2.02
B 0.5000 0.0000 0.0000  2 Na 2.02
Os 0.0000 0.0000 0.5000  2 Na 2.26
Na 0.0000 0.0000 0.0000  4 B 2.02

SG = No. 123
D(E_F) = 2.786 states/eV per cell
E = -5.35 eV/atom

---

| no. | spin magnetization (μB/atom) |
| --- | --- |
| 1 | 0.00 |
| 2 | 0.00 |
| 3 | 0.00 |
| 4 | 0.00 |
| 5 | 0.00 |
| 6 | 0.00 |